Entry 1:
Material: Y2MnNbW
Method: DFT, PBE
State: relaxed

Cell lengths 5.1570, 5.1570, 4.4540 Å; angles 90.00, 90.00, 90.00 degrees
Last column: nearest neighbours and their distance in Å.
Space group P4/mmm (No. 123)
Inequivalent atoms, fractional coordinates:
Y: 0.0000 0.5000 0.0000 x2  2 Mn 2.58
Mn: 0.0000 0.0000 0.0000 x1  2 W 2.23
Nb: 0.5000 0.5000 0.5000 x1  8 Y 3.41, 4 W 3.65
W: 0.0000 0.0000 0.5000 x1  2 Mn 2.23

Computed properties:
Total DFT energy (no corrections) ... -8.051 eV/atom
E_form ... 0.97 eV per atom

---

Entry 2:
Material: NaLaS2Cl
Method: DFT, PBE
State: relaxed

Cell lengths 5.4929, 5.4929, 5.6446 Å; angles 90.00, 90.00, 90.00 degrees
Last column: nearest neighbours and their distance in Å.
Space group P4/mmm (No. 123)
Inequivalent atoms, fractional coordinates:
Na: 0.0000 0.0000 0.0000 x1  4 Cl 3.88, 8 S 3.94
La: 0.5000 0.5000 0.5000 x1  4 S 2.75, 2 Cl 2.82
S: 0.0000 0.5000 0.5000 x2  2 La 2.75
Cl: 0.5000 0.5000 0.0000 x1  2 La 2.82

Computed properties:
Total DFT energy (no corrections) ... -4.571 eV/atom
Raw formation energy ... -1.301 eV per atom

---

Entry 3:
Material: YCd3Pt4
Method: DFT, PBE
State: relaxed

Cell lengths 9.7442, 6.0618, 5.0024 Å; angles 90.00, 90.00, 90.00 degrees
Last column: nearest neighbours and their distance in Å.
Space group Pmma (No. 51)
Inequivalent atoms, fractional coordinates:
Y: 0.0000 0.0000 0.0000 x2  8 Pt 2.94-2.96, 4 Cd 3.03-3.20
Cd: 0.0000 0.5000 0.0000 x2  8 Pt 2.88-2.90, 2 Y 3.03, 2 Cd 3.14
Cd: 0.2500 0.0000 0.4161 x2  8 Pt 2.86-3.06, 2 Cd 3.03
Cd: 0.2500 0.5000 0.3967 x2  8 Pt 2.87-2.91, 4 Cd 3.03-3.14
Pt: 0.0000 0.2564 0.5000 x4  6 Cd 2.90-2.92, 2 Y 2.94, 4 Pt 2.95-3.13
Pt: 0.2500 0.2614 0.8922 x4  6 Cd 2.86-3.06, 4 Pt 2.89-3.17, 2 Y 2.96

Computed properties:
Total DFT energy (no corrections) ... -4.747 eV/atom
E_form ... -0.58 eV per atom

---

Entry 4:
Material: La3I2
Method: DFT, PBE
State: relaxed

Cell lengths 7.4837, 7.4837, 23.4383 Å; angles 90.00, 90.00, 120.00 degrees
Last column: nearest neighbours and their distance in Å.
Space group R-3c (No. 167, hexagonal axes)
Inequivalent atoms, fractional coordinates:
La: 0.0000 0.3440 0.2500 x18  4 I 3.16-3.21
I: 0.0000 0.0000 0.1684 x12  6 La 3.16-3.21

Computed properties:
Total DFT energy (no corrections) ... -4.197 eV/atom
Raw formation energy ... -0.621 eV per atom

---

Entry 5:
Material: ZrTa2Cl
Method: DFT, PBE
State: relaxed

Cell lengths 4.4104, 4.4104, 7.9151 Å; angles 90.00, 90.00, 90.00 degrees
Last column: nearest neighbours and their distance in Å.
Space group I-4m2 (No. 119)
Inequivalent atoms, fractional coordinates:
Zr: 0.0000 0.0000 0.0000 x2  8 Ta 2.96-3.12, 4 Cl 2.96
Ta: 0.0000 0.0000 0.5000 x2  4 Cl 2.96, 4 Ta 2.96, 4 Zr 3.12
Ta: 0.0000 0.5000 0.2500 x2  4 Zr 2.96, 4 Ta 2.96, 4 Cl 3.12
Cl: 0.0000 0.5000 0.7500 x2  4 Zr 2.96, 8 Ta 2.96-3.12

Computed properties:
Total DFT energy (no corrections) ... -7.982 eV/atom
Raw formation energy ... 0.543 eV per atom

---

Entry 6:
Material: VSbTeS2
Method: DFT, PBE
State: relaxed

Cell lengths 4.5355, 4.5355, 5.6392 Å; angles 90.00, 90.00, 90.00 degrees
Last column: nearest neighbours and their distance in Å.
Space group P4/mmm (No. 123)
Inequivalent atoms, fractional coordinates:
V: 0.0000 0.0000 0.0000 x1  4 S 2.27
Sb: 0.5000 0.5000 0.5000 x1  4 Te 3.21
Te: 0.0000 0.0000 0.5000 x1  2 V 2.82
S: 0.0000 0.5000 0.0000 x2  2 V 2.27

Computed properties:
Total DFT energy (no corrections) ... -5.001 eV/atom
Raw formation energy ... -0.074 eV per atom